# GGA-PBE AcSmGe2, relaxed
# V, Å³/atom: 26.91
# Total moment, μB/atom: 0.0217
# Formation energy from the elements, kcal/mol of atoms: -12.2
# Calculated total energy, eV/atom: -5.043
data_AcSmGe2
_cell_length_a 5.5884
_cell_length_b 5.5884
_cell_length_c 3.4464
_cell_angle_alpha 90.00
_cell_angle_beta 90.00
_cell_angle_gamma 90.00
_symmetry_space_group_name_H-M 'P 1'
_symmetry_Int_Tables_number 1
_symmetry_space_group_name_Hall 'P 1'
loop_
_atom_site_label
_atom_site_type_symbol
_atom_site_fract_x
_atom_site_fract_y
_atom_site_fract_z
Ac1 Ac 0.0000 0.0000 0.0000
Sm1 Sm 0.5000 0.5000 0.0000
Ge1 Ge 0.0000 0.5000 0.5000
Ge2 Ge 0.5000 0.0000 0.5000